(1)
# KMo2Cl PBE optimized geometry
data_KMo2Cl
_chemical_formula_sum 'K1 Mo2 Cl1'
_space_group_name_H-M_alt 'P 1'
_space_group_IT_number 1
_space_group_name_Hall 'P 1'
_cell_length_a 4.907
_cell_length_b 4.907
_cell_length_c 4.906
_cell_angle_alpha 120.03
_cell_angle_beta 120.03
_cell_angle_gamma 89.96
loop_
_atom_site_label
_atom_site_type_symbol
_atom_site_fract_x
_atom_site_fract_y
_atom_site_fract_z
_atom_site_occupancy
Mo1 Mo 0.000 0.000 0.000 1
Mo2 Mo 0.250 0.750 0.500 1
K1 K 0.750 0.250 0.500 1
Cl1 Cl 0.500 0.500 0.000 1
# Spin magnetization ... 0.04 μB per formula unit
# Formation energy from raw total energies ... 1193 meV/atom
# N(E_F) ... 0.127 states/eV/atom
# Energy above the lowest structure with this stoichiometry ... 1116 meV/atom

***

(2)
# HgIBr3 PBE optimized geometry
data_HgIBr3
_chemical_formula_sum 'Hg1 I1 Br3'
_space_group_name_H-M_alt 'P 1'
_space_group_IT_number 1
_space_group_name_Hall 'P 1'
_cell_length_a 5.754
_cell_length_b 5.754
_cell_length_c 5.754
_cell_angle_alpha 90.00
_cell_angle_beta 90.00
_cell_angle_gamma 90.00
loop_
_atom_site_label
_atom_site_type_symbol
_atom_site_fract_x
_atom_site_fract_y
_atom_site_fract_z
_atom_site_occupancy
I1 I 0.000 0.000 0.000 1
Hg1 Hg 0.500 0.500 0.500 1
Br1 Br 0.000 0.500 0.000 1
Br2 Br 0.000 0.000 0.500 1
Br3 Br 0.500 0.000 0.000 1
# Spin magnetization ... 0.00 μB per formula unit
# Formation energy from raw total energies ... 96 meV/atom
# N(E_F) ... 0.841 states/eV/atom
# Energy above the lowest structure with this stoichiometry ... 346 meV/atom

***

(3)
# Mg2BePd6 PBE optimized geometry
data_Mg2BePd6
_chemical_formula_sum 'Mg2 Be1 Pd6'
_space_group_name_H-M_alt 'P 1'
_space_group_IT_number 1
_space_group_name_Hall 'P 1'
_cell_length_a 2.892
_cell_length_b 7.197
_cell_length_c 7.889
_cell_angle_alpha 117.14
_cell_angle_beta 100.71
_cell_angle_gamma 90.00
loop_
_atom_site_label
_atom_site_type_symbol
_atom_site_fract_x
_atom_site_fract_y
_atom_site_fract_z
_atom_site_occupancy
Mg1 Mg 0.654 0.654 0.308 1
Mg2 Mg 0.346 0.346 0.692 1
Be1 Be 0.000 0.000 0.000 1
Pd1 Pd 0.169 0.359 0.336 1
Pd2 Pd 0.831 0.022 0.664 1
Pd3 Pd 0.831 0.641 0.664 1
Pd4 Pd 0.500 0.248 0.000 1
Pd5 Pd 0.169 0.978 0.336 1
Pd6 Pd 0.500 0.752 0.000 1
# Spin magnetization ... 0.00 μB per formula unit
# DFT formation energy ... -0.37 eV/atom
# N(E_F) ... 0.424 states/eV/atom

***

(4)
# GaReSb3 PBE optimized geometry
data_GaReSb3
_chemical_formula_sum 'Ga1 Re1 Sb3'
_space_group_name_H-M_alt 'P 1'
_space_group_IT_number 1
_space_group_name_Hall 'P 1'
_cell_length_a 5.169
_cell_length_b 5.169
_cell_length_c 5.169
_cell_angle_alpha 90.00
_cell_angle_beta 90.00
_cell_angle_gamma 90.00
loop_
_atom_site_label
_atom_site_type_symbol
_atom_site_fract_x
_atom_site_fract_y
_atom_site_fract_z
_atom_site_occupancy
Re1 Re 0.500 0.500 0.500 1
Ga1 Ga 0.000 0.000 0.000 1
Sb1 Sb 0.000 0.500 0.000 1
Sb2 Sb 0.000 0.000 0.500 1
Sb3 Sb 0.500 0.000 0.000 1
# Spin magnetization ... 3.04 μB per formula unit
# Formation energy from raw total energies ... 1542 meV/atom
# N(E_F) ... 0.912 states/eV/atom
# Energy above the lowest structure with this stoichiometry ... 881 meV/atom

***

(5)
# Li2AgMo PBE optimized geometry
data_Li2AgMo
_chemical_formula_sum 'Li2 Ag1 Mo1'
_space_group_name_H-M_alt 'P 1'
_space_group_IT_number 1
_space_group_name_Hall 'P 1'
_cell_length_a 4.459
_cell_length_b 4.459
_cell_length_c 4.459
_cell_angle_alpha 60.00
_cell_angle_beta 60.00
_cell_angle_gamma 60.00
loop_
_atom_site_label
_atom_site_type_symbol
_atom_site_fract_x
_atom_site_fract_y
_atom_site_fract_z
_atom_site_occupancy
Ag1 Ag 0.500 0.500 0.500 1
Li1 Li 0.000 0.000 0.000 1
Li2 Li 0.250 0.250 0.250 1
Mo1 Mo 0.750 0.750 0.750 1
# Spin magnetization ... 1.07 μB per formula unit
# DFT formation energy ... 0.62 eV/atom
# N(E_F) ... 1.286 states/eV/atom
# Energy above the lowest structure with this stoichiometry ... 448 meV/atom

***

(6)
# DyHoTeAs PBE optimized geometry
data_DyHoTeAs
_chemical_formula_sum 'Dy1 Ho1 Te1 As1'
_space_group_name_H-M_alt 'P 1'
_space_group_IT_number 1
_space_group_name_Hall 'P 1'
_cell_length_a 4.132
_cell_length_b 4.132
_cell_length_c 7.671
_cell_angle_alpha 90.00
_cell_angle_beta 105.62
_cell_angle_gamma 120.00
loop_
_atom_site_label
_atom_site_type_symbol
_atom_site_fract_x
_atom_site_fract_y
_atom_site_fract_z
_atom_site_occupancy
Dy1 Dy 0.113 0.954 0.082 1
Ho1 Ho 0.492 0.144 0.651 1
Te1 Te 0.968 0.382 0.366 1
As1 As 0.305 0.551 0.871 1
# Spin magnetization ... 0.00 μB per formula unit
# Formation energy from raw total energies ... -1450 meV/atom
# N(E_F) ... 0.639 states/eV/atom

***

(7)
# KCu2SbCl6 PBE optimized geometry
data_KCu2SbCl6
_chemical_formula_sum 'K1 Cu2 Sb1 Cl6'
_space_group_name_H-M_alt 'P 1'
_space_group_IT_number 1
_space_group_name_Hall 'P 1'
_cell_length_a 6.936
_cell_length_b 6.937
_cell_length_c 8.108
_cell_angle_alpha 90.00
_cell_angle_beta 115.38
_cell_angle_gamma 119.97
loop_
_atom_site_label
_atom_site_type_symbol
_atom_site_fract_x
_atom_site_fract_y
_atom_site_fract_z
_atom_site_occupancy
K1 K 0.997 0.498 0.481 1
Cu1 Cu 0.468 0.733 0.188 1
Cu2 Cu 0.524 0.262 0.772 1
Sb1 Sb 0.997 0.998 0.980 1
Cl1 Cl 0.547 0.953 0.758 1
Cl2 Cl 0.447 0.043 0.203 1
Cl3 Cl 0.814 0.770 0.202 1
Cl4 Cl 0.173 0.402 0.202 1
Cl5 Cl 0.820 0.593 0.758 1
Cl6 Cl 0.179 0.226 0.758 1
# Spin magnetization ... 0.00 μB per formula unit
# Formation energy from raw total energies ... -909 meV/atom
# N(E_F) ... 0.000 states/eV/atom

***

(8)
# LaNdCu4 PBE optimized geometry
data_LaNdCu4
_chemical_formula_sum 'La1 Nd1 Cu4'
_space_group_name_H-M_alt 'P 1'
_space_group_IT_number 1
_space_group_name_Hall 'P 1'
_cell_length_a 3.999
_cell_length_b 3.999
_cell_length_c 8.270
_cell_angle_alpha 103.99
_cell_angle_beta 103.99
_cell_angle_gamma 90.00
loop_
_atom_site_label
_atom_site_type_symbol
_atom_site_fract_x
_atom_site_fract_y
_atom_site_fract_z
_atom_site_occupancy
La1 La 0.250 0.750 0.500 1
Nd1 Nd 0.000 0.000 0.000 1
Cu1 Cu 0.669 0.169 0.337 1
Cu2 Cu 0.580 0.580 0.159 1
Cu3 Cu 0.831 0.331 0.663 1
Cu4 Cu 0.420 0.420 0.841 1
# Spin magnetization ... 0.00 μB per formula unit
# DFT formation energy ... -0.20 eV/atom
# N(E_F) ... 0.580 states/eV/atom
# Energy above the lowest structure with this stoichiometry ... 0 meV/atom

***

(9)
# K2Pt2Se PBE optimized geometry
data_K2Pt2Se
_chemical_formula_sum 'K4 Pt4 Se2'
_space_group_name_H-M_alt 'P 1'
_space_group_IT_number 1
_space_group_name_Hall 'P 1'
_cell_length_a 9.970
_cell_length_b 9.970
_cell_length_c 2.739
_cell_angle_alpha 90.00
_cell_angle_beta 90.00
_cell_angle_gamma 90.00
loop_
_atom_site_label
_atom_site_type_symbol
_atom_site_fract_x
_atom_site_fract_y
_atom_site_fract_z
_atom_site_occupancy
K1 K 0.305 0.805 0.000 1
K2 K 0.805 0.695 0.000 1
K3 K 0.695 0.195 0.000 1
K4 K 0.195 0.305 0.000 1
Se1 Se 0.000 0.000 0.000 1
Se2 Se 0.500 0.500 0.000 1
Pt1 Pt 0.088 0.588 0.500 1
Pt2 Pt 0.588 0.912 0.500 1
Pt3 Pt 0.912 0.412 0.500 1
Pt4 Pt 0.412 0.088 0.500 1
# Spin magnetization ... 0.32 μB per formula unit
# Formation energy from raw total energies ... 200 meV/atom
# N(E_F) ... 0.889 states/eV/atom
# Energy above the lowest structure with this stoichiometry ... 467 meV/atom

***

(10)
# LaGa2IrRu PBE optimized geometry
data_LaGa2IrRu
_chemical_formula_sum 'La1 Ga2 Ir1 Ru1'
_space_group_name_H-M_alt 'P 1'
_space_group_IT_number 1
_space_group_name_Hall 'P 1'
_cell_length_a 4.434
_cell_length_b 4.434
_cell_length_c 5.798
_cell_angle_alpha 112.48
_cell_angle_beta 112.48
_cell_angle_gamma 90.00
loop_
_atom_site_label
_atom_site_type_symbol
_atom_site_fract_x
_atom_site_fract_y
_atom_site_fract_z
_atom_site_occupancy
La1 La 0.000 0.000 0.000 1
Ga1 Ga 0.633 0.633 0.267 1
Ga2 Ga 0.367 0.367 0.733 1
Ir1 Ir 0.750 0.250 0.500 1
Ru1 Ru 0.250 0.750 0.500 1
# Spin magnetization ... 0.00 μB per formula unit
# DFT formation energy ... -0.61 eV/atom
# N(E_F) ... 0.300 states/eV/atom